1.
An optimized crystal structure of GaTcHg2, computed with PBE.

Cell: 6.650 6.650 6.650 Å, 90.00 90.00 90.00°
Space group F-43m (No. 216)
Unique sites:
Ga: 0.000 0.000 0.000
Tc: 0.250 0.250 0.250
Hg: 0.000 0.000 0.500
Hg: 0.250 0.250 0.750

Summary:
**Crystal system**: cubic
**Raw total energy**: -2.877 eV per atom


2.
An optimized crystal structure of GaTc2Hg, computed with PBE.

Cell: 6.373 6.373 6.373 Å, 90.00 90.00 90.00°
Space group F-43m (No. 216)
Unique sites:
Ga: 0.000 0.000 0.000
Tc: 0.000 0.000 0.500
Tc: 0.250 0.250 0.750
Hg: 0.250 0.250 0.250

Summary:
**Crystal system**: cubic
**Raw total energy**: -5.539 eV per atom


3.
An optimized crystal structure of GaHgTe2, computed with PBE.

Cell: 7.573 7.573 7.573 Å, 90.00 90.00 90.00°
Space group F-43m (No. 216)
Unique sites:
Ga: 0.000 0.000 0.000
Hg: 0.250 0.250 0.250
Te: 0.000 0.000 0.500
Te: 0.250 0.250 0.750

Summary:
**Crystal system**: cubic
**Raw total energy**: -2.243 eV per atom